This record from Alexandria via LeMat-Bulk describes crystalline LaHW3 at its relaxed geometry. The functional is PBE.

Cell: 4.3266 4.3266 4.3266 Å, 90.00 90.00 90.00°
With the nearest neighbours (Å) after each atom.
Space group Pm-3m (No. 221)
Inequivalent atoms, fractional coordinates:
1 La 0.0000 0.0000 0.0000 [1 per cell]  12 W 3.06
2 H 0.5000 0.5000 0.5000 [1 per cell]  6 W 2.16
3 W 0.0000 0.5000 0.5000 [3 per cell]  2 H 2.16

## Properties
E above lowest polymorph (meV/atom): 0.0
E (eV/atom): -8.390
N(E_F) (states/eV/cell): 7.53
M_tot (μB per formula unit): 0.0

=====

This record from Alexandria via LeMat-Bulk describes crystalline Nd2SmDy4Th at its relaxed geometry. The functional is PBE.

Cell: 5.1106 5.1106 10.0398 Å, 90.00 90.00 90.00°
With the nearest neighbours (Å) after each atom.
Space group P4/mmm (No. 123)
Inequivalent atoms, fractional coordinates:
1 Nd 0.0000 0.0000 0.0000 [1 per cell]  8 Dy 3.55, 4 Th 3.61
2 Nd 0.5000 0.5000 0.5000 [1 per cell]  4 Sm 3.61, 8 Dy 3.61
3 Sm 0.0000 0.0000 0.5000 [1 per cell]  4 Nd 3.61, 8 Dy 3.61
4 Dy 0.0000 0.5000 0.2454 [4 per cell]  4 Nd 3.55-3.61, 2 Th 3.55, 4 Dy 3.61, 2 Sm 3.61
5 Th 0.5000 0.5000 0.0000 [1 per cell]  8 Dy 3.55, 4 Nd 3.61

## Properties
Energy of formation (eV per atom): 0.030
E (eV/atom): -4.981
N(E_F) (states/eV/cell): 10.66
M_tot (μB per formula unit): 0.0

=====

This record from Alexandria via LeMat-Bulk describes crystalline MgCu2 at its relaxed geometry. The functional is PBE.

Cell: 3.5032 3.5032 15.7290 Å, 90.00 90.00 90.00°
With the nearest neighbours (Å) after each atom.
Space group I4_1/amd (No. 141, origin choice 2)
Inequivalent atoms, fractional coordinates:
1 Mg 0.0000 0.2500 0.3750 [4 per cell]  8 Cu 2.75
2 Cu 0.0000 0.2500 0.7991 [8 per cell]  3 Cu 2.34-2.39

## Properties
Energy of formation (eV per atom): 0.093
E (eV/atom): -3.169
N(E_F) (states/eV/cell): 4.54
M_tot (μB per formula unit): 0.0

=====

This record from Alexandria via LeMat-Bulk describes crystalline LiTm2Sc at its relaxed geometry. The functional is PBE.

Cell: 3.3760 3.3760 32.5075 Å, 90.00 90.00 120.00°
With the nearest neighbours (Å) after each atom.
Space group R3m (No. 160, hexagonal axes)
Inequivalent atoms, fractional coordinates:
1 Li 0.0000 0.0000 0.0000 [3 per cell]  6 Tm 3.36-3.37, 6 Li 3.38
2 Tm 0.0000 0.0000 0.2491 [3 per cell]  3 Sc 3.31, 3 Li 3.36, 6 Tm 3.38
3 Tm 0.0000 0.0000 0.4179 [3 per cell]  3 Sc 3.31, 3 Li 3.37, 6 Tm 3.38
4 Sc 0.0000 0.0000 0.8336 [3 per cell]  6 Tm 3.31, 6 Sc 3.38

## Properties
E above lowest polymorph (meV/atom): 11.9
Energy of formation (eV per atom): 0.101
E (eV/atom): -4.196
N(E_F) (states/eV/cell): 12.03
M_tot (μB per formula unit): 0.0